(1)
Material: LaDy6Y3Ho2
Method: DFT, PBE
State: optimized geometry

The structure in POSCAR format:
```
LaDy6Y3Ho2
1.0
6.171 0.001 0.019
-3.083 5.346 0.019
-1.061 -1.837 11.631
Dy Y Ho La
6 3 2 1
Cartesian
3.064 1.731 8.737 Dy
-0.021 -0.037 8.717 Dy
2.059 -0.010 2.932 Dy
2.048 3.546 2.952 Dy
-1.038 1.779 2.932 Dy
-0.032 3.519 8.737 Dy
4.094 -0.025 5.834 Y
1.013 1.755 5.834 Y
-2.068 3.534 5.834 Y
0.002 3.564 0.019 Ho
3.086 1.783 0.019 Ho
0.000 0.000 0.000 La
```

Results
**Energy of formation from the pure elements**: 0.0225 eV per atom
**E**: -5.0682 eV per atom

=====

(2)
Material: SmScCuIr
Method: DFT, PBE
State: optimized geometry

The structure in POSCAR format:
```
SmScCuIr
1.0
4.799 0.000 0.000
2.399 4.156 0.000
2.399 1.385 3.918
Cu Ir Sm Sc
1 1 1 1
Cartesian
2.399 1.385 0.980 Cu
7.198 4.156 2.939 Ir
0.000 0.000 0.000 Sm
4.799 2.771 1.959 Sc
```

Results
**Energy of formation from the pure elements**: -0.5172 eV per atom
**E**: -6.5192 eV per atom

=====

(3)
Material: PaGa3Cu2
Method: DFT, PBE
State: optimized geometry

The structure in POSCAR format:
```
PaGa3Cu2
1.0
4.093 0.000 0.000
-2.046 7.679 -2.260
0.000 0.299 9.609
Ga Cu Pa
9 6 3
Cartesian
2.046 2.129 1.229 Ga
2.046 0.150 4.805 Ga
0.000 5.391 -0.981 Ga
2.046 2.586 8.330 Ga
0.000 5.849 6.120 Ga
2.046 4.572 4.881 Ga
0.000 3.406 2.468 Ga
2.046 7.116 4.138 Ga
0.000 0.862 3.211 Ga
2.046 2.438 3.755 Cu
2.046 4.860 7.426 Cu
0.000 7.545 0.009 Cu
0.000 3.118 -0.077 Cu
0.000 5.540 3.594 Cu
2.046 0.433 7.340 Cu
0.000 2.558 6.079 Pa
2.046 5.420 1.270 Pa
0.000 0.000 0.000 Pa
```

Results
**Energy of formation from the pure elements**: -0.2304 eV per atom
**E**: -4.6919 eV per atom

=====

(4)
Material: LiAg
Method: DFT, PBE
State: optimized geometry

The structure in POSCAR format:
```
LiAg
1.0
5.584 0.000 0.000
0.000 9.898 0.000
0.000 0.000 4.449
Li Ag
6 6
Cartesian
2.792 1.625 2.225 Li
0.000 0.000 0.000 Li
0.000 3.324 2.225 Li
0.000 6.574 2.225 Li
2.792 4.949 0.000 Li
2.792 8.273 2.225 Li
1.396 2.474 0.000 Ag
0.000 4.949 0.000 Ag
1.396 7.423 0.000 Ag
4.188 7.423 0.000 Ag
4.188 2.474 0.000 Ag
2.792 0.000 0.000 Ag
```

Results
**Energy of formation from the pure elements**: -0.0862 eV per atom
**E**: -2.4688 eV per atom

=====

(5)
Material: Ba2MgMnAu
Method: DFT, PBE
State: optimized geometry

The structure in POSCAR format:
```
Ba2MgMnAu
1.0
5.597 0.000 0.000
0.000 5.033 0.000
0.000 0.000 5.597
Au Ba Mn Mg
1 2 1 1
Cartesian
2.799 2.516 2.799 Au
2.799 0.000 0.000 Ba
0.000 0.000 2.799 Ba
0.000 0.000 0.000 Mn
0.000 2.516 0.000 Mg
```

Results
**Energy of formation from the pure elements**: 0.3501 eV per atom
**E**: -3.2274 eV per atom

=====

(6)
Material: BaUPt2O8
Method: DFT, PBE
State: optimized geometry

The structure in POSCAR format:
```
BaUPt2O8
1.0
-5.151 0.840 -1.151
2.427 -4.448 -1.700
-2.178 -3.843 6.942
O U Ba Pt
8 1 1 2
Cartesian
-3.830 -3.509 0.258 O
-4.408 -1.124 1.396 O
-2.986 -5.295 2.483 O
-0.494 -6.326 2.694 O
-0.154 -2.782 -1.343 O
-4.749 -4.669 5.433 O
-1.073 -3.942 3.833 O
-1.917 -2.155 1.607 O
-1.089 -1.921 3.471 U
0.000 0.000 0.000 Ba
-1.846 -5.766 4.049 Pt
-3.057 -1.684 0.041 Pt
```

Results
**E**: -6.6888 eV per atom
**Formation energy (no corrections)**: -1.276 eV per atom

=====

(7)
Material: Li2Ga3Sn2
Method: DFT, PBE
State: optimized geometry

The structure in POSCAR format:
```
Li2Ga3Sn2
1.0
-0.739 -7.266 -0.163
2.782 2.307 -6.348
4.491 1.870 5.450
Ga Sn Li
6 4 4
Cartesian
1.019 -1.303 1.312 Ga
1.057 -6.167 -0.315 Ga
3.717 -1.709 2.347 Ga
1.574 -3.779 -4.825 Ga
1.879 -3.875 -1.924 Ga
2.345 -3.878 0.957 Ga
4.618 1.625 -0.608 Sn
1.133 -1.388 -3.231 Sn
4.241 -0.737 -2.752 Sn
3.817 1.589 4.632 Sn
3.197 -1.603 -0.371 Li
-0.205 -3.711 -0.108 Li
2.132 0.888 2.588 Li
0.671 -5.929 -3.333 Li
```

Results
**Energy of formation from the pure elements**: -0.0547 eV per atom
**E**: -3.0424 eV per atom

=====

(8)
Material: Ac3NdHg4
Method: DFT, PBE
State: optimized geometry

The structure in POSCAR format:
```
Ac3NdHg4
1.0
3.996 0.000 0.000
0.000 3.996 0.000
0.000 0.000 15.967
Hg Ac Nd
4 3 1
Cartesian
0.000 0.000 14.194 Hg
0.000 0.000 5.942 Hg
0.000 0.000 1.774 Hg
0.000 0.000 10.025 Hg
1.998 1.998 12.097 Ac
1.998 1.998 3.871 Ac
1.998 1.998 7.984 Ac
1.998 1.998 0.000 Nd
```

Results
**Energy of formation from the pure elements**: -0.4673 eV per atom
**E**: -2.7549 eV per atom

=====

(9)
Material: CdFeIr2
Method: DFT, PBE
State: optimized geometry

The structure in POSCAR format:
```
CdFeIr2
1.0
-0.431 -2.404 -1.324
2.400 0.319 -1.361
3.792 -3.862 5.780
Cd Fe Ir
1 1 2
Cartesian
1.914 -1.949 2.917 Cd
3.916 -4.028 3.125 Fe
1.849 -1.923 -0.025 Ir
3.771 -3.841 5.748 Ir
```

Results
**Energy of formation from the pure elements**: 0.1470 eV per atom
**E**: -6.6279 eV per atom

=====

(10)
Material: Fe6Ir7
Method: DFT, PBE
State: optimized geometry

The structure in POSCAR format:
```
Fe6Ir7
1.0
9.023 0.023 0.014
7.541 4.955 0.014
7.541 2.266 4.406
Fe Ir
6 7
Cartesian
16.026 4.816 2.948 Fe
3.669 1.103 0.675 Fe
22.786 6.848 4.192 Fe
8.080 2.428 1.486 Fe
1.320 0.397 0.243 Fe
20.437 6.142 3.760 Fe
13.794 5.509 1.841 Ir
13.794 4.145 4.069 Ir
12.053 3.622 2.217 Ir
14.546 3.008 1.841 Ir
9.561 4.237 2.594 Ir
10.312 3.099 0.366 Ir
10.312 1.735 2.594 Ir
```

Results
**Energy of formation from the pure elements**: 0.2756 eV per atom
**E**: -8.4015 eV per atom

=====

(11)
Material: Ag2CO3
Method: DFT, PBE
State: optimized geometry

The structure in POSCAR format:
```
Ag2CO3
1.0
9.375 0.000 0.000
-4.688 8.119 0.000
0.000 0.000 6.532
O Ag C
18 12 6
Cartesian
1.088 4.702 1.381 O
-3.572 7.455 5.774 O
0.160 4.118 4.729 O
1.041 6.199 4.729 O
4.760 1.408 4.647 O
3.555 7.486 5.774 O
3.528 3.293 4.647 O
5.729 1.920 1.463 O
1.115 0.664 2.508 O
-1.160 4.826 1.381 O
0.017 1.298 5.774 O
3.487 2.198 1.463 O
-1.201 5.921 4.729 O
4.705 6.822 2.508 O
5.776 3.418 4.647 O
8.243 0.634 2.508 O
4.848 4.001 1.463 O
0.072 6.711 1.381 O
7.675 2.480 5.110 Ag
-2.928 5.454 3.232 Ag
1.500 7.928 3.232 Ag
6.116 5.263 6.498 Ag
1.760 2.665 6.498 Ag
-1.298 2.712 1.844 Ag
6.187 0.191 6.498 Ag
-1.690 7.887 1.844 Ag
3.390 5.407 5.110 Ag
1.428 2.857 3.232 Ag
2.998 0.232 5.110 Ag
2.988 5.639 1.844 Ag
0.000 0.000 5.777 C
4.688 2.706 1.451 C
0.000 5.413 4.717 C
0.000 5.413 1.378 C
4.688 2.706 4.644 C
0.000 0.000 2.511 C
```

Results
**E**: -5.6767 eV per atom
**Formation energy (no corrections)**: -0.710 eV per atom

=====

(12)
Material: CePaAu2
Method: DFT, PBE
State: optimized geometry

The structure in POSCAR format:
```
CePaAu2
1.0
3.246 0.000 0.000
0.000 3.246 0.000
0.000 0.000 8.721
Au Pa Ce
2 1 1
Cartesian
0.000 0.000 2.130 Au
0.000 0.000 6.591 Au
1.623 1.623 0.000 Pa
1.623 1.623 4.360 Ce
```

Results
**Energy of formation from the pure elements**: -0.4122 eV per atom
**E**: -5.9083 eV per atom